NdNpTa | the Open Quantum Materials Database | PBE | relaxed; total magnetization = 4.313 μB per formula unit; formation energy = 1.481 eV/atom; uncorrected energy = -24.94 eV for the cell shown
1.0
0.000 3.366 3.366
3.366 0.000 3.366
3.366 3.366 0.000
Nd Np Ta
1 1 1
direct
0.000 0.000 0.000
0.250 0.250 0.250
0.500 0.500 0.500

NdThNp | the Open Quantum Materials Database | PBE | relaxed; total magnetization = 5.067 μB per formula unit; formation energy = 1.185 eV/atom; uncorrected energy = -21.39 eV for the cell shown
1.0
0.000 3.650 3.650
3.650 0.000 3.650
3.650 3.650 0.000
Nd Th Np
1 1 1
direct
0.000 0.000 0.000
0.750 0.750 0.750
0.250 0.250 0.250

NdNpU | the Open Quantum Materials Database | PBE | relaxed; total magnetization = 8.125 μB per formula unit; formation energy = 1.121 eV/atom; uncorrected energy = -25.46 eV for the cell shown
1.0
0.000 3.491 3.491
3.491 0.000 3.491
3.491 3.491 0.000
Nd Np U
1 1 1
direct
0.000 0.000 0.000
0.250 0.250 0.250
0.500 0.500 0.500

NdNpZn | the Open Quantum Materials Database | PBE | relaxed; total magnetization = 4.870 μB per formula unit; formation energy = 0.523 eV/atom; uncorrected energy = -17.23 eV for the cell shown
1.0
0.000 3.497 3.497
3.497 0.000 3.497
3.497 3.497 0.000
Nd Np Zn
1 1 1
direct
0.000 0.000 0.000
0.500 0.500 0.500
0.250 0.250 0.250

Nd2O | the Open Quantum Materials Database | PBE | relaxed; total magnetization = 0.023 μB per formula unit; uncorrected energy = -39.42 eV for the cell shown
1.0
6.028 0.000 0.000
0.000 6.028 0.000
0.000 0.000 3.668
Nd O
4 2
direct
0.211 0.211 0.000
0.289 0.711 0.500
0.711 0.289 0.500
0.789 0.789 0.000
0.000 0.000 0.500
0.500 0.500 0.000

Nd5O | the Open Quantum Materials Database | PBE | relaxed; total magnetization = 0.901 μB per formula unit; uncorrected energy = -23.94 eV for the cell shown
1.0
6.162 0.000 0.000
-3.081 5.337 0.000
0.000 0.000 6.184
Nd O
5 1
direct
0.000 0.500 0.000
0.333 0.667 0.500
0.500 0.000 0.000
0.500 0.500 0.000
0.667 0.333 0.500
0.000 0.000 0.500

Nd2O3 | the Open Quantum Materials Database | PBE | relaxed; total magnetization = 0.000 μB per formula unit; uncorrected energy = -329.58 eV for the cell shown
1.0
-5.540 5.540 5.540
5.540 -5.540 5.540
5.540 5.540 -5.540
Nd O
16 24
direct
0.000 0.000 0.000
0.000 0.500 0.500
0.030 0.780 0.250
0.220 0.750 0.970
0.250 0.030 0.780
0.250 0.530 0.280
0.280 0.250 0.530
0.470 0.720 0.750
0.500 0.000 0.500
0.500 0.500 0.000
0.530 0.280 0.250
0.720 0.750 0.470
0.750 0.470 0.720
0.750 0.970 0.220
0.780 0.250 0.030
0.970 0.220 0.750
0.013 0.472 0.741
0.028 0.041 0.269
0.041 0.269 0.028
0.229 0.459 0.487
0.231 0.271 0.759
0.241 0.769 0.729
0.259 0.987 0.528
0.269 0.028 0.041
0.271 0.759 0.231
0.459 0.487 0.229
0.472 0.741 0.013
0.487 0.229 0.459
0.513 0.771 0.541
0.528 0.259 0.987
0.541 0.513 0.771
0.729 0.241 0.769
0.731 0.972 0.959
0.741 0.013 0.472
0.759 0.231 0.271
0.769 0.729 0.241
0.771 0.541 0.513
0.959 0.731 0.972
0.972 0.959 0.731
0.987 0.528 0.259

NdO2 | the Open Quantum Materials Database | PBE | relaxed; total magnetization = 1.000 μB per formula unit; uncorrected energy = -41.68 eV for the cell shown
1.0
0.000 5.043 5.043
5.043 0.000 5.043
5.043 5.043 0.000
Nd O
2 4
direct
0.125 0.125 0.125
0.875 0.875 0.875
0.000 0.000 0.000
0.000 0.000 0.500
0.000 0.500 0.000
0.500 0.000 0.000

NdO2 | the Open Quantum Materials Database | PBE | relaxed; total magnetization = 1.143 μB per formula unit; uncorrected energy = -33.63 eV for the cell shown
1.0
0.000 3.324 3.324
3.324 0.000 3.324
3.324 3.324 0.000
Nd O
2 4
direct
0.125 0.125 0.125
0.875 0.875 0.875
0.000 0.500 0.500
0.500 0.000 0.500
0.500 0.500 0.000
0.500 0.500 0.500

Nd2O3 | the Open Quantum Materials Database | PBE | relaxed; total magnetization = 0.000 μB per formula unit; uncorrected energy = -40.12 eV for the cell shown
1.0
6.142 0.000 0.000
-3.071 5.319 0.000
0.000 0.000 3.195
Nd O
2 3
direct
0.333 0.667 0.000
0.667 0.333 0.000
0.000 0.513 0.500
0.487 0.487 0.500
0.513 0.000 0.500

Nd2O | the Open Quantum Materials Database | PBE | relaxed; total magnetization = 2.370 μB per formula unit; uncorrected energy = -34.05 eV for the cell shown
1.0
0.000 5.344 5.344
5.344 0.000 5.344
5.344 5.344 0.000
Nd O
4 2
direct
0.000 0.000 0.000
0.000 0.000 0.500
0.000 0.500 0.000
0.500 0.000 0.000
0.125 0.125 0.125
0.875 0.875 0.875

Nd5Os2O12 | the Open Quantum Materials Database | PBE | relaxed; total magnetization = 0.663 μB per formula unit; uncorrected energy = -155.01 eV for the cell shown
1.0
6.460 -2.866 0.000
6.460 2.866 0.000
-2.353 0.000 7.381
Nd Os O
5 2 12
direct
0.000 0.000 0.000
0.305 0.305 0.145
0.312 0.312 0.668
0.688 0.688 0.332
0.695 0.695 0.855
0.218 0.782 0.500
0.782 0.218 0.500
0.001 0.001 0.698
0.087 0.590 0.419
0.097 0.595 0.925
0.405 0.903 0.075
0.410 0.913 0.581
0.499 0.499 0.335
0.501 0.501 0.665
0.590 0.087 0.419
0.595 0.097 0.925
0.903 0.405 0.075
0.913 0.410 0.581
0.999 0.999 0.302

NdOs2O4 | the Open Quantum Materials Database | PBE | relaxed; total magnetization = 1.001 μB per formula unit; uncorrected energy = -107.92 eV for the cell shown
1.0
0.000 4.546 4.546
4.546 0.000 4.546
4.546 4.546 0.000
Nd Os O
2 4 8
direct
0.125 0.125 0.125
0.875 0.875 0.875
0.000 0.500 0.500
0.500 0.000 0.500
0.500 0.500 0.000
0.500 0.500 0.500
0.271 0.271 0.271
0.271 0.271 0.687
0.271 0.687 0.271
0.313 0.729 0.729
0.687 0.271 0.271
0.729 0.313 0.729
0.729 0.729 0.313
0.729 0.729 0.729

Nd4Os6O19 | the Open Quantum Materials Database | PBE | relaxed; total magnetization = 1.811 μB per formula unit; uncorrected energy = -232.53 eV for the cell shown
1.0
-4.483 4.483 4.483
4.483 -4.483 4.483
4.483 4.483 -4.483
Nd Os O
4 6 19
direct
0.000 0.000 0.313
0.000 0.313 0.000
0.313 0.000 0.000
0.687 0.687 0.687
0.138 0.638 0.500
0.362 0.500 0.862
0.500 0.138 0.638
0.500 0.862 0.362
0.638 0.500 0.138
0.862 0.362 0.500
0.000 0.000 0.000
0.000 0.320 0.320
0.000 0.680 0.680
0.056 0.317 0.697
0.261 0.944 0.642
0.303 0.620 0.358
0.317 0.697 0.056
0.320 0.000 0.320
0.320 0.320 0.000
0.358 0.303 0.620
0.380 0.683 0.739
0.620 0.358 0.303
0.642 0.261 0.944
0.680 0.000 0.680
0.680 0.680 0.000
0.683 0.739 0.380
0.697 0.056 0.317
0.739 0.380 0.683
0.944 0.642 0.261

NdPOsO | the Open Quantum Materials Database | PBE | relaxed; total magnetization = 0.002 μB per formula unit; uncorrected energy = -67.36 eV for the cell shown
1.0
4.045 0.000 0.000
0.000 4.045 0.000
0.000 0.000 8.256
Nd P Os O
2 2 2 2
direct
0.000 0.000 0.000
0.500 0.500 0.285
0.000 0.000 0.498
0.500 0.500 0.790
0.000 0.500 0.644
0.500 0.000 0.644
0.000 0.500 0.143
0.500 0.000 0.143

NdPOsO | the Open Quantum Materials Database | PBE | relaxed; total magnetization = 0.001 μB per formula unit; uncorrected energy = -67.36 eV for the cell shown
1.0
4.040 0.000 0.000
0.000 4.040 0.000
0.000 0.000 8.274
Nd P Os O
2 2 2 2
direct
0.250 0.250 0.142
0.750 0.750 0.858
0.250 0.250 0.646
0.750 0.750 0.354
0.250 0.750 0.500
0.750 0.250 0.500
0.250 0.750 0.000
0.750 0.250 0.000

NdPOsO | the Open Quantum Materials Database | PBE | relaxed; total magnetization = 0.001 μB per formula unit; uncorrected energy = -61.24 eV for the cell shown
1.0
3.267 0.000 0.000
0.000 7.717 0.000
0.000 0.000 5.302
Nd P Os O
2 2 2 2
direct
0.000 0.180 0.000
0.000 0.820 0.500
0.000 0.428 0.500
0.000 0.572 0.000
0.500 0.225 0.500
0.500 0.775 0.000
0.500 0.002 0.754
0.500 0.998 0.254

NdPOsO | the Open Quantum Materials Database | PBE | relaxed; total magnetization = 0.001 μB per formula unit; uncorrected energy = -51.15 eV for the cell shown
1.0
4.328 0.000 0.000
0.000 4.328 0.000
0.000 0.000 6.801
Nd P Os O
2 2 2 2
direct
0.250 0.750 0.000
0.750 0.250 0.000
0.250 0.250 0.288
0.750 0.750 0.712
0.250 0.250 0.625
0.750 0.750 0.375
0.250 0.750 0.500
0.750 0.250 0.500

NdPOsO | the Open Quantum Materials Database | PBE | relaxed; total magnetization = 0.014 μB per formula unit; uncorrected energy = -62.53 eV for the cell shown
1.0
4.332 0.000 0.000
0.000 4.189 0.000
0.000 0.000 7.037
Nd P Os O
2 2 2 2
direct
0.000 0.239 0.000
0.000 0.761 0.500
0.500 0.236 0.676
0.500 0.764 0.176
0.500 0.266 0.339
0.500 0.734 0.839
0.000 0.262 0.337
0.000 0.738 0.837

Nd2P2OsPdO2 | the Open Quantum Materials Database | PBE | relaxed; total magnetization = 0.020 μB per formula unit; uncorrected energy = -61.20 eV for the cell shown
1.0
4.034 0.000 0.000
0.000 4.034 0.000
0.000 0.000 8.324
Nd P Os Pd O
2 2 1 1 2
direct
0.000 0.500 0.141
0.500 0.000 0.859
0.000 0.500 0.653
0.500 0.000 0.347
0.000 0.000 0.500
0.500 0.500 0.500
0.000 0.000 0.000
0.500 0.500 0.000

TbNdP2Os2O2 | the Open Quantum Materials Database | PBE | relaxed; total magnetization = 0.001 μB per formula unit; uncorrected energy = -67.43 eV for the cell shown
1.0
4.019 0.000 0.000
0.000 4.019 0.000
0.000 0.000 8.104
Tb Nd P Os O
1 1 2 2 2
direct
0.000 0.000 0.000
0.500 0.500 0.278
0.000 0.000 0.488
0.500 0.500 0.788
0.000 0.500 0.639
0.500 0.000 0.639
0.000 0.500 0.129
0.500 0.000 0.129

PrNdSb2Os2O2 | the Open Quantum Materials Database | PBE | relaxed; total magnetization = 0.001 μB per formula unit; uncorrected energy = -61.44 eV for the cell shown
1.0
4.247 0.000 0.000
0.000 4.247 0.000
0.000 0.000 8.662
Pr Nd Sb Os O
1 1 2 2 2
direct
0.000 0.000 0.000
0.500 0.500 0.255
0.000 0.000 0.452
0.500 0.500 0.803
0.000 0.500 0.627
0.500 0.000 0.627
0.000 0.500 0.130
0.500 0.000 0.130

Nd3P2O | the Open Quantum Materials Database | PBE | relaxed; total magnetization = 0.001 μB per formula unit; uncorrected energy = -41.35 eV for the cell shown
1.0
3.982 0.000 0.000
-1.991 3.448 0.000
0.000 0.000 9.653
Nd P O
3 2 1
direct
0.000 0.000 0.000
0.333 0.667 0.354
0.667 0.333 0.646
0.333 0.667 0.817
0.667 0.333 0.183
0.000 0.000 0.500